[1]
Computed, not measured: crystalline Be2Pb at its relaxed geometry at the PBE-GGA level of DFT.

For the formation energy, the calculation gives 0.417 eV/atom. The space-group type is C2/m.

The structure in POSCAR format:
```
Be2Pb
1.0
5.5485 -1.9027 0.0000
5.5485 1.9027 0.0000
-2.7040 0.0000 4.9817
Be Pb
4 2
Direct
0.0998 0.0998 0.4934
0.2973 0.2973 0.5190
0.7027 0.7027 0.4810
0.9002 0.9002 0.5066
0.4066 0.4066 0.1566
0.5934 0.5934 0.8434
```



[2]
Computed, not measured: crystalline Ca3In3Ir2 at its relaxed geometry at the PBE-GGA level of DFT.

For the formation energy, the calculation gives -0.438 eV/atom. The space-group type is Pnma.

The structure in POSCAR format:
```
Ca3In3Ir2
1.0
8.2346 0.0000 0.0000
0.0000 16.3132 0.0000
0.0000 0.0000 5.9574
Ca In Ir
12 12 8
Direct
0.0374 0.1105 0.0946
0.0374 0.3895 0.0946
0.1762 0.2500 0.6362
0.3238 0.7500 0.1362
0.4626 0.6105 0.5946
0.4626 0.8895 0.5946
0.5374 0.1105 0.4054
0.5374 0.3895 0.4054
0.6762 0.2500 0.8638
0.8238 0.7500 0.3638
0.9626 0.6105 0.9054
0.9626 0.8895 0.9054
0.1665 0.7500 0.6204
0.1720 0.0372 0.6002
0.1720 0.4628 0.6002
0.3280 0.5372 0.1002
0.3280 0.9628 0.1002
0.3335 0.2500 0.1204
0.6665 0.7500 0.8796
0.6720 0.0372 0.8998
0.6720 0.4628 0.8998
0.8280 0.5372 0.3998
0.8280 0.9628 0.3998
0.8335 0.2500 0.3796
0.1230 0.6097 0.3883
0.1230 0.8903 0.3883
0.3770 0.1097 0.8883
0.3770 0.3903 0.8883
0.6230 0.6097 0.1117
0.6230 0.8903 0.1117
0.8770 0.1097 0.6117
0.8770 0.3903 0.6117
```



[3]
Computed, not measured: crystalline LiCeAgAu at its relaxed geometry at the PBE-GGA level of DFT.

For the formation energy, the calculation gives -0.322 eV/atom. The space-group type is F-43m.

The structure in POSCAR format:
```
LiCeAgAu
1.0
0.0000 3.5361 3.5361
3.5361 0.0000 3.5361
3.5361 3.5361 0.0000
Li Ce Ag Au
1 1 1 1
Direct
0.0000 0.0000 0.0000
0.5000 0.5000 0.5000
0.7500 0.7500 0.7500
0.2500 0.2500 0.2500
```



[4]
Computed, not measured: crystalline Cs2AlN at its relaxed geometry at the PBE-GGA level of DFT.

The space-group type is Fm-3m. For the formation energy from raw total energies, the calculation gives 483.2 kJ/mol of formula units.

The structure in POSCAR format:
```
Cs2AlN
1.0
0.0000 4.0086 4.0086
4.0086 0.0000 4.0086
4.0086 4.0086 0.0000
Cs Al N
2 1 1
Direct
0.2500 0.2500 0.2500
0.7500 0.7500 0.7500
0.0000 0.0000 0.0000
0.5000 0.5000 0.5000
```



[5]
Computed, not measured: crystalline Na2Ac2PtO6 at its relaxed geometry at the PBE-GGA level of DFT.

The space-group type is C2/m. For the formation energy from raw total energies, the calculation gives -2098.5 kJ/mol of formula units.

The structure in POSCAR format:
```
Na2Ac2PtO6
1.0
3.1083 -5.4365 0.0000
3.1083 5.4365 0.0000
-1.1318 0.0000 5.8005
Na Ac Pt O
2 2 1 6
Direct
0.1220 0.8780 0.0000
0.8780 0.1220 0.0000
0.3396 0.6604 0.5000
0.6604 0.3396 0.5000
0.0000 0.0000 0.5000
0.0233 0.3192 0.6872
0.2339 0.2339 0.2878
0.3192 0.0233 0.6872
0.6808 0.9767 0.3128
0.7661 0.7661 0.7122
0.9767 0.6808 0.3128
```



[6]
Computed, not measured: crystalline MgSc6Pb at its relaxed geometry at the PBE-GGA level of DFT.

For the formation energy, the calculation gives -0.091 eV/atom. The space-group type is Pm-3.

The structure in POSCAR format:
```
MgSc6Pb
1.0
5.7640 0.0000 0.0000
0.0000 5.7640 0.0000
0.0000 0.0000 5.7640
Mg Sc Pb
1 6 1
Direct
0.0000 0.0000 0.0000
0.0000 0.2516 0.5000
0.0000 0.7484 0.5000
0.2516 0.5000 0.0000
0.5000 0.0000 0.2516
0.5000 0.0000 0.7484
0.7484 0.5000 0.0000
0.5000 0.5000 0.5000
```



no.,magnetic moment (μB per formula unit)
1,0.00
2,0.00
3,0.97
4,0.00
5,0.00
6,0.21